# 1
Computed, not measured: a relaxed Li6PdF12 crystal at the PBE-GGA level of DFT.

Calculated values
As for the total energy: -80.3 eV per formula unit. For the uncorrected formation energy, the calculation gives -3968 kJ/mol of formula units. The value obtained for the density of states at the Fermi level is 14.072 states/eV per cell. Its space-group type is No. 148.

abc: 5.9795 5.9795 5.9795
angles: 98.21 98.21 98.21
Last column: nearest neighbours and their distance in Å.
Fractional positions:
1 Li 0.1042 0.6543 0.8674  4 F 1.95-2.07
2 Li 0.1326 0.8958 0.3457  4 F 1.95-2.07
3 Li 0.3457 0.1326 0.8958  4 F 1.95-2.07
4 Li 0.6543 0.8674 0.1042  4 F 1.95-2.07
5 Li 0.8674 0.1042 0.6543  4 F 1.95-2.07
6 Li 0.8958 0.3457 0.1326  4 F 1.95-2.07
7 Pd 0.5000 0.5000 0.5000  6 F 1.93
8 F 0.0934 0.8950 0.6795  4 Li 1.95-2.07
9 F 0.1050 0.3205 0.9066  4 Li 1.95-2.07
10 F 0.1982 0.5502 0.3798  1 Pd 1.93
11 F 0.3205 0.9066 0.1050  4 Li 1.95-2.07
12 F 0.3798 0.1982 0.5502  1 Pd 1.93
13 F 0.4498 0.6202 0.8018  1 Pd 1.93
14 F 0.5502 0.3798 0.1982  1 Pd 1.93
15 F 0.6202 0.8018 0.4498  1 Pd 1.93
16 F 0.6795 0.0934 0.8950  4 Li 1.95-2.07
17 F 0.8018 0.4498 0.6202  1 Pd 1.93
18 F 0.8950 0.6795 0.0934  4 Li 1.95-2.07
19 F 0.9066 0.1050 0.3205  4 Li 1.95-2.07

=====

# 2
Computed, not measured: a relaxed Li5PdF8 crystal at the PBE-GGA level of DFT.

Calculated values
As for the total energy: -62.2 eV per formula unit. For the uncorrected formation energy, the calculation gives -3133 kJ/mol of formula units. Its space-group type is No. 216.

abc: 5.9912 5.9912 5.9912
angles: 60.00 60.00 60.00
Last column: nearest neighbours and their distance in Å.
Fractional positions:
1 Li 0.0000 0.0000 0.0000  4 F 1.93
2 Li 0.0899 0.6367 0.6367  6 F 1.97-2.13
3 Li 0.6367 0.0899 0.6367  6 F 1.97-2.13
4 Li 0.6367 0.6367 0.0899  6 F 1.97-2.13
5 Li 0.6367 0.6367 0.6367  6 F 1.97-2.13
6 Pd 0.2500 0.2500 0.2500  4 F 2.01
7 F 0.3872 0.3872 0.3872  1 Pd 2.01, 3 Li 2.13
8 F 0.3872 0.3872 0.8383  1 Pd 2.01, 3 Li 2.13
9 F 0.3872 0.8383 0.3872  1 Pd 2.01, 3 Li 2.13
10 F 0.3938 0.8687 0.8687  4 Li 1.93-1.97
11 F 0.8383 0.3872 0.3872  1 Pd 2.01, 3 Li 2.13
12 F 0.8687 0.3938 0.8687  4 Li 1.93-1.97
13 F 0.8687 0.8687 0.3938  4 Li 1.93-1.97
14 F 0.8687 0.8687 0.8687  4 Li 1.93-1.97

=====

# 3
Computed, not measured: a relaxed LiPdF crystal at the PBE-GGA level of DFT.

Calculated values
As for the total energy: -11.1 eV per formula unit. For the uncorrected formation energy, the calculation gives -208 kJ/mol of formula units. For the polymorph energy (0 for the lowest one), the calculation gives 0.9934 eV/atom. The value obtained for the density of states at the Fermi level is 3.450 states/eV per cell. Its space-group type is No. 216.

abc: 3.9430 3.9430 3.9430
angles: 60.00 60.00 60.00
Last column: nearest neighbours and their distance in Å.
Fractional positions:
1 Li 0.0000 0.0000 0.0000  4 F 2.41
2 Pd 0.5000 0.5000 0.5000  4 F 2.41
3 F 0.2500 0.2500 0.2500  4 Li 2.41, 4 Pd 2.41

=====

# 4
Computed, not measured: a relaxed LiPdF crystal at the PBE-GGA level of DFT.

Calculated values
As for the total energy: -13.2 eV per formula unit. For the uncorrected formation energy, the calculation gives -407 kJ/mol of formula units. For the polymorph energy (0 for the lowest one), the calculation gives 0.3078 eV/atom. The value obtained for the density of states at the Fermi level is 2.921 states/eV per cell. Its space-group type is No. 8.

abc: 6.7696 6.7696 2.6411
angles: 100.95 100.95 22.50
Last column: nearest neighbours and their distance in Å.
Fractional positions:
1 Li 0.0000 0.0000 0.0000  4 F 1.87
2 Pd 0.2618 0.2618 0.2645  4 Pd 2.64
3 F 0.4982 0.4982 0.4981  4 Li 1.87

=====

# 5
Computed, not measured: a relaxed LiPd2F8 crystal at the PBE-GGA level of DFT.

Calculated values
As for the total energy: -40.9 eV per formula unit. For the uncorrected formation energy, the calculation gives -1316 kJ/mol of formula units. The value obtained for the density of states at the Fermi level is 11.901 states/eV per cell. Its space-group type is No. 164.

abc: 6.6220 6.6220 4.1067
angles: 90.00 90.00 120.00
Last column: nearest neighbours and their distance in Å.
Fractional positions:
1 Li 0.0000 0.0000 0.0000  6 F 2.12
2 Pd 0.3333 0.6667 0.2423  5 F 1.96-2.06
3 Pd 0.6667 0.3333 0.7577  5 F 1.96-2.06
4 F 0.1622 0.3244 0.2470  1 Pd 1.96, 1 Li 2.12
5 F 0.1622 0.8378 0.2470  1 Pd 1.96, 1 Li 2.12
6 F 0.3244 0.1622 0.7530  1 Pd 1.96, 1 Li 2.12
7 F 0.3333 0.6667 0.7432  2 Pd 2.05-2.06
8 F 0.6667 0.3333 0.2568  2 Pd 2.05-2.06
9 F 0.6756 0.8378 0.2470  1 Pd 1.96, 1 Li 2.12
10 F 0.8378 0.1622 0.7530  1 Pd 1.96, 1 Li 2.12
11 F 0.8378 0.6756 0.7530  1 Pd 1.96, 1 Li 2.12

=====

# 6
Computed, not measured: a relaxed Li2PdF2 crystal at the PBE-GGA level of DFT.

Calculated values
As for the total energy: -21.1 eV per formula unit. For the uncorrected formation energy, the calculation gives -804 kJ/mol of formula units. For the polymorph energy (0 for the lowest one), the calculation gives 0.0000 eV/atom. The value obtained for the density of states at the Fermi level is 1.079 states/eV per cell. Its space-group type is No. 139.

abc: 5.6066 5.6066 5.6066
angles: 141.78 141.78 55.15
Last column: nearest neighbours and their distance in Å.
Fractional positions:
1 Li 0.1998 0.1998 0.0000  4 F 1.90
2 Li 0.8002 0.8002 0.0000  4 F 1.90
3 Pd 0.5000 0.5000 0.0000  10 Li 2.98-3.27, 8 F 3.09
4 F 0.2500 0.7500 0.5000  4 Li 1.90
5 F 0.7500 0.2500 0.5000  4 Li 1.90

=====

# 7
Computed, not measured: a relaxed LiPdF2 crystal at the PBE-GGA level of DFT.

Calculated values
As for the total energy: -17.2 eV per formula unit. For the uncorrected formation energy, the calculation gives -610 kJ/mol of formula units. For the polymorph energy (0 for the lowest one), the calculation gives 0.3321 eV/atom. The value obtained for the density of states at the Fermi level is 3.958 states/eV per cell. Its space-group type is No. 122.

abc: 5.3820 5.3820 5.3820
angles: 122.66 122.66 85.45
Last column: nearest neighbours and their distance in Å.
Fractional positions:
1 Li 0.0000 0.0000 0.0000  4 F 1.87
2 Li 0.7500 0.2500 0.5000  4 F 1.87
3 Pd 0.2500 0.7500 0.5000  4 F 2.32
4 Pd 0.5000 0.5000 0.0000  4 F 2.32
5 F 0.0532 0.6250 0.9282  2 Li 1.87
6 F 0.3750 0.3032 0.4282  2 Li 1.87
7 F 0.6968 0.1250 0.0718  2 Li 1.87
8 F 0.8750 0.9468 0.5718  2 Li 1.87

=====

# 8
Computed, not measured: a relaxed Li2Pd2F7 crystal at the PBE-GGA level of DFT.

Calculated values
As for the total energy: -46.2 eV per formula unit. For the uncorrected formation energy, the calculation gives -1827 kJ/mol of formula units. For the polymorph energy (0 for the lowest one), the calculation gives 0.0544 eV/atom. The value obtained for the density of states at the Fermi level is 0.417 states/eV per cell. Its space-group type is No. 15.

abc: 5.5992 5.5992 10.0225
angles: 94.43 94.43 73.06
Last column: nearest neighbours and their distance in Å.
Fractional positions:
1 Li 0.0238 0.2271 0.4785  5 F 1.89-2.02
2 Li 0.2271 0.0238 0.9785  5 F 1.89-2.02
3 Li 0.7729 0.9762 0.0215  5 F 1.89-2.02
4 Li 0.9762 0.7729 0.5215  5 F 1.89-2.02
5 Pd 0.1453 0.3939 0.2191  6 F 2.05-2.25
6 Pd 0.3939 0.1453 0.7191  6 F 2.05-2.25
7 Pd 0.6061 0.8547 0.2809  6 F 2.05-2.25
8 Pd 0.8547 0.6061 0.7809  6 F 2.05-2.25
9 F 0.0130 0.8633 0.8777  2 Li 1.89-1.99, 1 Pd 2.05
10 F 0.1265 0.4618 0.6196  2 Li 2.00-2.02, 1 Pd 2.21
11 F 0.1367 0.9870 0.6223  2 Li 1.89-1.99, 1 Pd 2.05
12 F 0.1522 0.3330 0.8779  1 Li 1.99, 2 Pd 2.13-2.17
13 F 0.3330 0.1522 0.3779  1 Li 1.99, 2 Pd 2.13-2.17
14 F 0.3411 0.6589 0.2500  2 Pd 2.08
15 F 0.4618 0.1265 0.1196  2 Li 2.00-2.02, 1 Pd 2.21
16 F 0.5382 0.8735 0.8804  2 Li 2.00-2.02, 1 Pd 2.21
17 F 0.6589 0.3411 0.7500  2 Pd 2.08
18 F 0.6670 0.8478 0.6221  1 Li 1.99, 2 Pd 2.13-2.17
19 F 0.8478 0.6670 0.1221  1 Li 1.99, 2 Pd 2.13-2.17
20 F 0.8633 0.0130 0.3777  2 Li 1.89-1.99, 1 Pd 2.05
21 F 0.8735 0.5382 0.3804  2 Li 2.00-2.02, 1 Pd 2.21
22 F 0.9870 0.1367 0.1223  2 Li 1.89-1.99, 1 Pd 2.05